[1]
{
  "formula": "LaDy6Tm2",
  "functional": "PBE",
  "state": "optimized geometry",
  "lattice": [[3.660, 0.000, 0.000], [1.830, 6.281, 0.477], [1.830, 1.407, 12.739]],
  "species": ["La", "Dy", "Dy", "Dy", "Dy", "Tm", "Tm", "Dy", "Dy"],
  "frac_coords": [[0.000, 0.000, 0.000], [0.355, 0.769, 0.522], [0.963, 0.386, 0.688], [0.303, 0.503, 0.892], [0.697, 0.497, 0.108], [0.671, 0.914, 0.744], [0.329, 0.086, 0.256], [0.037, 0.614, 0.312], [0.645, 0.231, 0.478]],
  "ef_mev_per_atom": 56.9,
  "dos_at_fermi_per_ev_cell": 14.087,
  "polymorph_energy_kj_per_mol_fu": 0.0,
  "vol_a3_per_cell": 290,
  "m_tot_mub_per_fu": 0.00,
  "space_group": "C2/m (12)"
}



[2]
{
  "formula": "KCaSi2",
  "functional": "PBE",
  "state": "optimized geometry",
  "lattice": [[-4.647, 0.201, 3.134], [-1.489, -0.189, 5.404], [-2.031, 6.395, 3.925]],
  "species": ["Si", "Ca", "K", "Si"],
  "frac_coords": [[0.506, 0.506, 0.333], [0.250, 0.250, 0.250], [0.750, 0.750, 0.750], [0.994, 0.994, 0.167]],
  "raw_formation_energy_kcal_per_mol_atoms": -3.48,
  "dos_at_fermi_per_ev_cell": 0.878,
  "polymorph_energy_kj_per_mol_fu": 7.0,
  "vol_a3_per_cell": 132,
  "m_tot_mub_per_fu": 0.00,
  "space_group": "C2/m (12)"
}



[3]
{
  "formula": "SbPb2Se",
  "functional": "PBE",
  "state": "optimized geometry",
  "lattice": [[6.553, -0.037, 0.000], [3.485, 5.549, 0.000], [-5.019, -2.756, 3.186]],
  "species": ["Se", "Sb", "Pb", "Pb"],
  "frac_coords": [[0.750, 0.250, 0.500], [0.500, 0.500, 0.000], [0.250, 0.750, 0.500], [0.000, 0.000, 0.000]],
  "raw_formation_energy_kcal_per_mol_atoms": 0.04,
  "dos_at_fermi_per_ev_cell": 3.044,
  "polymorph_energy_kj_per_mol_fu": 81.4,
  "vol_a3_per_cell": 116,
  "m_tot_mub_per_fu": 0.00,
  "space_group": "I-4m2 (119)"
}



[4]
{
  "formula": "Ho3B2SbRh9",
  "functional": "PBE",
  "state": "optimized geometry",
  "lattice": [[-2.393, 5.246, -1.036], [-1.148, -4.501, -3.570], [-6.890, -2.167, 4.947]],
  "species": ["Rh", "Ho", "B", "Rh", "Rh", "Rh", "Rh", "Sb", "Ho", "Rh", "Ho", "Rh", "Rh", "Rh", "B"],
  "frac_coords": [[0.162, 0.324, 0.269], [0.667, 0.333, 0.298], [0.667, 0.333, 0.854], [0.500, 0.500, 0.000], [0.838, 0.162, 0.731], [0.000, 0.500, 0.000], [0.676, 0.838, 0.269], [0.000, 0.000, 0.500], [0.333, 0.667, 0.702], [0.162, 0.838, 0.269], [0.000, 0.000, 0.000], [0.324, 0.162, 0.731], [0.838, 0.676, 0.731], [0.500, 0.000, 0.000], [0.333, 0.667, 0.146]],
  "raw_formation_energy_kcal_per_mol_atoms": -14.61,
  "dos_at_fermi_per_ev_cell": 13.675,
  "vol_a3_per_cell": 260,
  "m_tot_mub_per_fu": 0.00,
  "space_group": "P-3m1 (164)"
}



[5]
{
  "formula": "TaHgSe",
  "functional": "PBE",
  "state": "optimized geometry",
  "lattice": [[-4.152, -0.394, -1.868], [-0.445, -0.288, -4.539], [-1.275, -3.944, -1.925]],
  "species": ["Se", "Ta", "Hg"],
  "frac_coords": [[0.500, 0.500, 0.500], [0.750, 0.750, 0.750], [0.000, 0.000, 0.000]],
  "raw_formation_energy_kcal_per_mol_atoms": 12.06,
  "dos_at_fermi_per_ev_cell": 3.453,
  "polymorph_energy_kj_per_mol_fu": 190.3,
  "vol_a3_per_cell": 67,
  "m_tot_mub_per_fu": 0.00,
  "space_group": "F-43m (216)"
}



[6]
{
  "formula": "LiSb6Pd",
  "functional": "PBE",
  "state": "optimized geometry",
  "lattice": [[-4.471, 6.494, -2.343], [6.558, -0.863, -4.889], [-4.912, -6.882, -0.667]],
  "species": ["Sb", "Sb", "Sb", "Pd", "Sb", "Li", "Sb", "Sb", "Sb", "Sb", "Sb", "Sb", "Li", "Sb", "Pd", "Sb"],
  "frac_coords": [[0.486, 0.841, 0.649], [0.192, 0.837, 0.351], [0.644, 0.501, 0.837], [0.500, 0.500, 0.500], [0.664, 0.807, 0.163], [0.500, 0.000, 0.000], [0.145, 0.336, 0.481], [0.849, 0.366, 0.215], [0.855, 0.664, 0.519], [0.808, 0.163, 0.649], [0.151, 0.634, 0.785], [0.514, 0.159, 0.351], [0.000, 0.500, 0.000], [0.356, 0.499, 0.163], [0.000, 0.000, 0.500], [0.336, 0.193, 0.837]],
  "raw_formation_energy_kcal_per_mol_atoms": -3.54,
  "dos_at_fermi_per_ev_cell": 5.740,
  "vol_a3_per_cell": 448,
  "m_tot_mub_per_fu": 0.00,
  "space_group": "C2/m (12)"
}



[7]
{
  "formula": "CuPdS3",
  "functional": "PBE",
  "state": "optimized geometry",
  "lattice": [[-1.150, 2.757, -3.605], [-1.296, -3.764, -2.465], [-4.350, 0.392, 1.687]],
  "species": ["S", "Pd", "S", "S", "Cu"],
  "frac_coords": [[0.000, 0.000, 0.500], [0.000, 0.000, 0.000], [0.500, 0.000, 0.000], [0.000, 0.500, 0.000], [0.500, 0.500, 0.500]],
  "raw_formation_energy_kcal_per_mol_atoms": 18.61,
  "dos_at_fermi_per_ev_cell": 5.902,
  "vol_a3_per_cell": 103,
  "m_tot_mub_per_fu": 1.57,
  "space_group": "Pm-3m (221)"
}



[8]
{
  "formula": "AcThPtAu",
  "functional": "PBE",
  "state": "optimized geometry",
  "lattice": [[-1.841, 2.299, -4.416], [-5.165, 1.141, -0.443], [-1.621, 5.053, 0.116]],
  "species": ["Ac", "Th", "Au", "Pt"],
  "frac_coords": [[0.500, 0.500, 0.500], [0.000, 0.000, 0.000], [0.250, 0.250, 0.250], [0.750, 0.750, 0.750]],
  "ef_mev_per_atom": -763.1,
  "dos_at_fermi_per_ev_cell": 4.150,
  "vol_a3_per_cell": 106,
  "m_tot_mub_per_fu": 0.00,
  "space_group": "F-43m (216)"
}



[9]
{
  "formula": "TlNiW2",
  "functional": "PBE",
  "state": "optimized geometry",
  "lattice": [[-0.639, 0.368, 4.138], [1.170, -2.516, 0.404], [5.974, 0.395, 0.887]],
  "species": ["Tl", "W", "Ni", "W"],
  "frac_coords": [[0.500, 0.750, 0.750], [0.000, 0.021, 0.034], [0.500, 0.250, 0.250], [0.000, 0.479, 0.466]],
  "ef_mev_per_atom": 666.8,
  "dos_at_fermi_per_ev_cell": 2.127,
  "polymorph_energy_kj_per_mol_fu": 67.8,
  "vol_a3_per_cell": 66,
  "m_tot_mub_per_fu": 0.00,
  "space_group": "P2/m (10)"
}



[10]
{
  "formula": "Th2GeAs",
  "functional": "PBE",
  "state": "optimized geometry",
  "lattice": [[-2.220, 2.547, -2.641], [-3.847, -1.234, -1.438], [-5.054, 3.489, 4.132]],
  "species": ["Th", "As", "Ge", "Th"],
  "frac_coords": [[0.251, 0.251, 0.247], [0.500, 0.500, 0.500], [0.000, 0.000, 0.000], [0.749, 0.749, 0.753]],
  "ef_mev_per_atom": -1097.5,
  "dos_at_fermi_per_ev_cell": 2.112,
  "polymorph_energy_kj_per_mol_fu": 0.0,
  "vol_a3_per_cell": 111,
  "m_tot_mub_per_fu": 0.00,
  "space_group": "R-3m (166)"
}



[11]
{
  "formula": "Pm3ZnIr8",
  "functional": "PBE",
  "state": "optimized geometry",
  "lattice": [[0.058, -5.200, 1.375], [1.266, -3.735, -3.658], [8.879, -2.296, 1.462]],
  "species": ["Ir", "Pm", "Ir", "Ir", "Ir", "Pm", "Ir", "Zn", "Ir", "Ir", "Ir", "Pm"],
  "frac_coords": [[0.063, 0.562, 0.812], [0.624, 0.624, 0.129], [0.311, 0.311, 0.066], [0.560, 0.061, 0.318], [0.061, 0.560, 0.318], [0.006, 0.006, 0.982], [0.562, 0.562, 0.812], [0.133, 0.133, 0.600], [0.061, 0.061, 0.318], [0.811, 0.811, 0.567], [0.562, 0.063, 0.812], [0.496, 0.496, 0.513]],
  "ef_mev_per_atom": -509.7,
  "dos_at_fermi_per_ev_cell": 14.555,
  "vol_a3_per_cell": 219,
  "m_tot_mub_per_fu": 0.00,
  "space_group": "R3m (160)"
}



[12]
{
  "formula": "LaCd2Si",
  "functional": "PBE",
  "state": "optimized geometry",
  "lattice": [[-0.318, 6.010, 2.562], [-1.524, -5.429, 3.315], [2.185, -0.089, 2.153]],
  "species": ["Si", "Cd", "La", "Cd"],
  "frac_coords": [[0.000, 0.500, 0.500], [0.000, 0.000, 0.000], [0.500, 0.000, 0.500], [0.500, 0.500, 0.000]],
  "raw_formation_energy_kcal_per_mol_atoms": -0.96,
  "dos_at_fermi_per_ev_cell": 1.988,
  "vol_a3_per_cell": 98,
  "m_tot_mub_per_fu": 0.00,
  "space_group": "C2/m (12)"
}



[13]
{
  "formula": "Cs2Hg2Pt",
  "functional": "PBE",
  "state": "optimized geometry",
  "lattice": [[7.658, 0.000, 0.000], [0.000, 7.658, 0.000], [0.000, 0.000, 5.948]],
  "species": ["Pt", "Hg", "Hg", "Pt", "Cs", "Cs", "Hg", "Cs", "Cs", "Hg"],
  "frac_coords": [[0.500, 0.500, 0.000], [0.344, 0.844, 0.000], [0.844, 0.656, 0.000], [0.000, 0.000, 0.000], [0.678, 0.822, 0.500], [0.822, 0.322, 0.500], [0.656, 0.156, 0.000], [0.322, 0.178, 0.500], [0.178, 0.678, 0.500], [0.156, 0.344, 0.000]],
  "ef_mev_per_atom": -85.5,
  "dos_at_fermi_per_ev_cell": 3.103,
  "polymorph_energy_kj_per_mol_fu": 60.9,
  "vol_a3_per_cell": 349,
  "m_tot_mub_per_fu": 0.00,
  "space_group": "P4/mbm (127)"
}



[14]
{
  "formula": "Eu3Si4",
  "functional": "PBE",
  "state": "optimized geometry",
  "lattice": [[9.581, 0.010, -0.017], [7.707, 5.692, 0.017], [-8.520, -3.228, 2.965]],
  "species": ["Eu", "Eu", "Eu", "Si", "Si", "Si", "Si"],
  "frac_coords": [[0.809, 0.315, 0.494], [0.994, 0.000, 0.994], [0.179, 0.685, 0.494], [0.558, 0.565, 0.993], [0.633, 0.139, 0.494], [0.429, 0.435, 0.993], [0.355, 0.861, 0.494]],
  "raw_formation_energy_kcal_per_mol_atoms": -13.26,
  "dos_at_fermi_per_ev_cell": 9.098,
  "vol_a3_per_cell": 162,
  "m_tot_mub_per_fu": 7.80,
  "space_group": "Immm (71)"
}



[15]
{
  "formula": "LiAgBr2",
  "functional": "PBE",
  "state": "optimized geometry",
  "lattice": [[4.029, -0.007, 0.013], [2.021, 3.486, 0.013], [1.988, 1.143, 6.589]],
  "species": ["Br", "Br", "Li", "Ag"],
  "frac_coords": [[0.494, 0.494, 0.516], [0.006, 0.006, 0.984], [0.750, 0.750, 0.750], [0.250, 0.250, 0.250]],
  "raw_formation_energy_kcal_per_mol_atoms": -20.66,
  "dos_at_fermi_per_ev_cell": 0.000,
  "polymorph_energy_kj_per_mol_fu": 17.9,
  "vol_a3_per_cell": 93,
  "m_tot_mub_per_fu": 0.00,
  "space_group": "C2/m (12)"
}



[16]
{
  "formula": "NaSrO4",
  "functional": "PBE",
  "state": "optimized geometry",
  "lattice": [[6.265, -1.193, -1.258], [-4.875, 4.295, -0.201], [0.127, -0.316, 4.138]],
  "species": ["Na", "O", "O", "O", "Sr", "O"],
  "frac_coords": [[0.000, 0.500, 0.500], [0.416, 0.196, 0.612], [0.631, 0.357, 0.987], [0.584, 0.804, 0.388], [0.000, 0.000, 0.000], [0.369, 0.643, 0.013]],
  "raw_formation_energy_kcal_per_mol_atoms": -29.67,
  "dos_at_fermi_per_ev_cell": 5.184,
  "vol_a3_per_cell": 86,
  "m_tot_mub_per_fu": 1.02,
  "space_group": "C2/m (12)"
}



[17]
{
  "formula": "Cu3Ag",
  "functional": "PBE",
  "state": "optimized geometry",
  "lattice": [[-3.989, 2.907, 1.336], [-1.191, 0.261, 4.966], [3.371, 0.874, -3.744]],
  "species": ["Cu", "Cu", "Ag", "Cu"],
  "frac_coords": [[0.482, 0.500, 0.982], [0.594, 0.241, 0.354], [0.977, 0.000, 0.977], [0.113, 0.759, 0.354]],
  "ef_mev_per_atom": 115.2,
  "dos_at_fermi_per_ev_cell": 1.799,
  "vol_a3_per_cell": 54,
  "m_tot_mub_per_fu": 0.00,
  "space_group": "Imm2 (44)"
}



[18]
{
  "formula": "PuSnPd6",
  "functional": "PBE",
  "state": "optimized geometry",
  "lattice": [[-3.409, 1.911, -2.948], [-2.447, -3.432, -2.488], [-6.412, -0.842, 3.623]],
  "species": ["Sn", "Pd", "Pu", "Pd", "Pd", "Pd", "Pd", "Pd"],
  "frac_coords": [[0.000, 0.000, 0.000], [0.647, 0.647, 0.061], [0.500, 0.500, 0.500], [0.353, 0.353, 0.939], [0.548, 0.062, 0.297], [0.452, 0.938, 0.703], [0.938, 0.452, 0.703], [0.062, 0.548, 0.297]],
  "ef_mev_per_atom": -240.9,
  "dos_at_fermi_per_ev_cell": 14.665,
  "polymorph_energy_kj_per_mol_fu": 210.5,
  "vol_a3_per_cell": 156,
  "m_tot_mub_per_fu": 4.73,
  "space_group": "C2/m (12)"
}



[19]
{
  "formula": "LiHfHg",
  "functional": "PBE",
  "state": "optimized geometry",
  "lattice": [[3.125, 0.000, 0.000], [0.000, 3.125, 0.000], [-1.562, -1.562, 12.336]],
  "species": ["Hg", "Li", "Hf", "Li", "Hf", "Hg"],
  "frac_coords": [[0.146, 0.146, 0.292], [0.286, 0.286, 0.572], [0.439, 0.439, 0.879], [0.714, 0.714, 0.428], [0.561, 0.561, 0.121], [0.854, 0.854, 0.708]],
  "ef_mev_per_atom": 95.4,
  "dos_at_fermi_per_ev_cell": 5.919,
  "vol_a3_per_cell": 120,
  "m_tot_mub_per_fu": 0.00,
  "space_group": "I4/mmm (139)"
}



[20]
{
  "formula": "Pm12ErTh5",
  "functional": "PBE",
  "state": "optimized geometry",
  "lattice": [[10.848, 0.007, -0.052], [5.422, 9.416, 0.701], [0.027, 1.695, 6.044]],
  "species": ["Th", "Pm", "Pm", "Pm", "Pm", "Pm", "Th", "Th", "Pm", "Pm", "Pm", "Th", "Pm", "Pm", "Th", "Pm", "Pm", "Er"],
  "frac_coords": [[0.334, 0.332, 0.999], [0.836, 0.000, 0.500], [0.996, 0.335, 0.001], [0.339, 0.000, 0.000], [0.504, 0.666, 0.501], [0.331, 0.665, 0.999], [0.832, 0.336, 0.494], [0.500, 0.000, 0.500], [0.496, 0.334, 0.499], [0.669, 0.335, 0.001], [0.830, 0.666, 0.502], [0.666, 0.668, 0.001], [0.004, 0.665, 0.999], [0.164, 0.000, 0.500], [0.168, 0.664, 0.506], [0.661, 0.000, 0.000], [0.170, 0.334, 0.498], [0.000, 0.000, 0.000]],
  "ef_mev_per_atom": 61.0,
  "dos_at_fermi_per_ev_cell": 28.367,
  "vol_a3_per_cell": 604,
  "m_tot_mub_per_fu": 0.00,
  "space_group": "C2/m (12)"
}



[21]
{
  "formula": "SrSm2Co",
  "functional": "PBE",
  "state": "optimized geometry",
  "lattice": [[-2.882, -2.688, 0.225], [-0.688, -1.875, 3.405], [-8.187, 6.220, 4.060]],
  "species": ["Sr", "Sm", "Co", "Sm"],
  "frac_coords": [[0.000, 0.000, 0.000], [0.878, 0.878, 0.365], [0.500, 0.500, 0.500], [0.122, 0.122, 0.635]],
  "ef_mev_per_atom": 99.8,
  "dos_at_fermi_per_ev_cell": 4.187,
  "polymorph_energy_kj_per_mol_fu": 14.9,
  "vol_a3_per_cell": 146,
  "m_tot_mub_per_fu": 0.00,
  "space_group": "R-3m (166)"
}



[22]
{
  "formula": "Tb3PrTm5",
  "functional": "PBE",
  "state": "optimized geometry",
  "lattice": [[8.983, 1.820, 1.372], [4.210, 8.141, 1.372], [5.753, 4.344, 10.560]],
  "species": ["Tb", "Tb", "Tm", "Tm", "Tm", "Tb", "Pr", "Pr", "Tm", "Tm", "Tm", "Tb", "Tm", "Tm", "Tm", "Tb", "Tb", "Tm"],
  "frac_coords": [[0.694, 0.694, 0.687], [0.831, 0.831, 0.342], [0.444, 0.444, 0.435], [0.922, 0.511, 0.218], [0.322, 0.678, 0.000], [0.000, 0.000, 0.000], [0.106, 0.106, 0.132], [0.894, 0.894, 0.868], [0.511, 0.922, 0.218], [0.556, 0.556, 0.565], [0.629, 0.629, 0.072], [0.169, 0.169, 0.658], [0.678, 0.322, 0.000], [0.489, 0.078, 0.782], [0.078, 0.489, 0.782], [0.000, 0.000, 0.500], [0.306, 0.306, 0.313], [0.371, 0.371, 0.928]],
  "ef_mev_per_atom": 415.8,
  "dos_at_fermi_per_ev_cell": 27.474,
  "polymorph_energy_kj_per_mol_fu": 66.4,
  "vol_a3_per_cell": 613,
  "m_tot_mub_per_fu": 0.00,
  "space_group": "C2/m (12)"
}



[23]
{
  "formula": "SiAsRh2N",
  "functional": "PBE",
  "state": "optimized geometry",
  "lattice": [[-2.027, 2.123, -3.348], [-3.092, -3.199, -0.157], [-1.916, 1.741, 2.264]],
  "species": ["Rh", "Rh", "N", "Si", "As"],
  "frac_coords": [[0.000, 0.500, 0.000], [0.500, 0.000, 0.000], [0.000, 0.000, 0.000], [0.000, 0.000, 0.500], [0.500, 0.500, 0.500]],
  "raw_formation_energy_kcal_per_mol_atoms": 6.39,
  "dos_at_fermi_per_ev_cell": 1.623,
  "vol_a3_per_cell": 68,
  "m_tot_mub_per_fu": 0.00,
  "space_group": "P4/mmm (123)"
}



[24]
{
  "formula": "CrFeBr2",
  "functional": "PBE",
  "state": "optimized geometry",
  "lattice": [[-0.720, -1.089, -4.812], [3.841, -1.452, -2.829], [0.301, -4.727, -1.559]],
  "species": ["Br", "Br", "Cr", "Fe"],
  "frac_coords": [[0.000, 0.000, 0.000], [0.250, 0.250, 0.250], [0.500, 0.500, 0.500], [0.750, 0.750, 0.750]],
  "raw_formation_energy_kcal_per_mol_atoms": 21.76,
  "dos_at_fermi_per_ev_cell": 8.474,
  "polymorph_energy_kj_per_mol_fu": 339.9,
  "vol_a3_per_cell": 88,
  "m_tot_mub_per_fu": 8.28,
  "space_group": "F-43m (216)"
}



[25]
{
  "formula": "ErTh2Sb2",
  "functional": "PBE",
  "state": "optimized geometry",
  "lattice": [[-0.924, 3.260, -4.557], [-6.282, 0.447, 1.594], [4.741, 6.434, 3.641]],
  "species": ["Th", "Th", "Sb", "Th", "Sb", "Er", "Er", "Sb", "Sb", "Th"],
  "frac_coords": [[0.250, 0.586, 0.173], [0.750, 0.414, 0.827], [0.250, 0.611, 0.733], [0.750, 0.802, 0.605], [0.250, 0.123, 0.733], [0.000, 0.000, 0.000], [0.500, 0.000, 0.000], [0.750, 0.389, 0.267], [0.750, 0.877, 0.267], [0.250, 0.198, 0.395]],
  "raw_formation_energy_kcal_per_mol_atoms": -9.31,
  "dos_at_fermi_per_ev_cell": 11.587,
  "vol_a3_per_cell": 301,
  "m_tot_mub_per_fu": 0.00,
  "space_group": "Cmcm (63)"
}